Entry from Alexandria via LeMat-Bulk: Tl4OF2 after structural relaxation (PBE-GGA).

Values from the calculation:
Final energy (eV per atom): -3.555
Density of states at the Fermi level (states/eV/cell): 1.43

Cell lengths 4.937, 4.937, 8.098 Å; angles 72.25, 72.25, 90.00 degrees
Fractional positions:
O 0.000 0.000 0.000
Tl 0.000 0.500 0.000
F 0.398 0.398 0.205
F 0.602 0.602 0.795
Tl 0.765 0.765 0.470
Tl 0.500 0.000 0.000
Tl 0.235 0.235 0.530